[1]
DFT (PBE-GGA) results for an optimized crystal structure of KAcAg2Cl8.

- SG: I-4
- Energy relative to the elements, uncorrected: -1.24 eV per atom
- Fermi-level density of states: 0.79 states/eV/atom

Lattice parameters (Å, degrees): 8.592 8.592 8.592 131.24 131.24 71.44
Fractional coordinates of all 12 atoms:
K: 0.000 0.000 0.000
Ac: 0.750 0.250 0.500
Ag: 0.250 0.750 0.500
Ag: 0.500 0.500 0.000
Cl: 0.024 0.648 0.052
Cl: 0.028 0.976 0.624
Cl: 0.137 0.294 0.570
Cl: 0.352 0.404 0.376
Cl: 0.433 0.863 0.157
Cl: 0.596 0.972 0.948
Cl: 0.706 0.276 0.843
Cl: 0.724 0.567 0.430

[2]
DFT (PBE-GGA) results for an optimized crystal structure of La3Dy4Sc.

- SG: Immm
- Energy of formation: 1.088 eV per formula unit
- Fermi-level density of states: 1.50 states/eV/atom

Lattice parameters (Å, degrees): 3.506 11.760 12.871 90.00 90.00 90.00
Fractional coordinates of all 16 atoms:
La: 0.000 0.000 0.000
La: 0.000 0.500 0.240
La: 0.000 0.500 0.760
La: 0.500 0.000 0.260
La: 0.500 0.000 0.740
La: 0.500 0.500 0.500
Dy: 0.000 0.242 0.367
Dy: 0.000 0.242 0.633
Dy: 0.000 0.758 0.367
Dy: 0.000 0.758 0.633
Dy: 0.500 0.258 0.133
Dy: 0.500 0.258 0.867
Dy: 0.500 0.742 0.133
Dy: 0.500 0.742 0.867
Sc: 0.000 0.000 0.500
Sc: 0.500 0.500 0.000

[3]
DFT (PBE-GGA) results for an optimized crystal structure of Al2ZnCd.

- SG: C2/m
- Energy of formation: 0.370 eV per formula unit
- Energy relative to the lowest polymorph listed for this composition: 0.15 eV/f.u.
- Fermi-level density of states: 0.31 states/eV/atom

Lattice parameters (Å, degrees): 10.123 2.789 5.273 90.00 103.63 90.00
Fractional coordinates of all 8 atoms:
Al: 0.240 0.000 0.238
Al: 0.260 0.500 0.762
Al: 0.740 0.500 0.238
Al: 0.760 0.000 0.762
Zn: 0.000 0.500 0.000
Zn: 0.500 0.000 0.000
Cd: 0.000 0.000 0.500
Cd: 0.500 0.500 0.500

[4]
DFT (PBE-GGA) results for an optimized crystal structure of YScTeO2.

- SG: P2_1/m
- Energy relative to the elements, uncorrected: -2.86 eV per atom

Lattice parameters (Å, degrees): 6.670 4.014 7.494 90.00 108.25 90.00
Fractional coordinates of all 10 atoms:
Y: 0.179 0.250 0.429
Y: 0.821 0.750 0.571
Sc: 0.142 0.250 0.914
Sc: 0.858 0.750 0.086
Te: 0.459 0.750 0.756
Te: 0.541 0.250 0.244
O: 0.018 0.750 0.890
O: 0.019 0.750 0.370
O: 0.981 0.250 0.630
O: 0.982 0.250 0.110

[5]
DFT (PBE-GGA) results for an optimized crystal structure of ReBi2Ru.

- SG: I-42d
- Energy of formation: 5.625 eV per formula unit
- Energy relative to the lowest polymorph listed for this composition: 2.40 eV/f.u.
- Fermi-level density of states: 1.13 states/eV/atom

Lattice parameters (Å, degrees): 6.185 6.185 12.205 90.00 90.00 90.00
Fractional coordinates of all 16 atoms:
Re: 0.000 0.000 0.000
Re: 0.000 0.500 0.250
Re: 0.500 0.000 0.750
Re: 0.500 0.500 0.500
Bi: 0.245 0.250 0.625
Bi: 0.250 0.745 0.875
Bi: 0.250 0.755 0.375
Bi: 0.255 0.250 0.125
Bi: 0.745 0.750 0.125
Bi: 0.750 0.245 0.375
Bi: 0.750 0.255 0.875
Bi: 0.755 0.750 0.625
Ru: 0.000 0.000 0.500
Ru: 0.000 0.500 0.750
Ru: 0.500 0.000 0.250
Ru: 0.500 0.500 0.000

[6]
DFT (PBE-GGA) results for an optimized crystal structure of K2DyUS6.

- SG: P2_1/c
- Energy relative to the elements, uncorrected: -1.33 eV per atom
- Fermi-level density of states: 0.65 states/eV/atom

Lattice parameters (Å, degrees): 7.382 7.380 12.787 90.00 125.25 90.00
Fractional coordinates of all 20 atoms:
K: 0.249 0.003 0.250
K: 0.249 0.497 0.750
K: 0.751 0.503 0.250
K: 0.751 0.997 0.750
Dy: 0.500 0.000 0.000
Dy: 0.500 0.500 0.500
U: 0.000 0.000 0.500
U: 0.000 0.500 0.000
S: 0.226 0.247 0.994
S: 0.226 0.253 0.494
S: 0.248 0.732 0.995
S: 0.248 0.768 0.495
S: 0.254 0.001 0.743
S: 0.254 0.499 0.243
S: 0.746 0.501 0.757
S: 0.746 0.999 0.257
S: 0.752 0.232 0.505
S: 0.752 0.268 0.005
S: 0.774 0.747 0.506
S: 0.774 0.753 0.006